Record 1
DFT (GGA-PBE) results for a relaxed KUInSe4 crystal.

Unit cell a=8.6785 b=8.6879 c=12.4630 alpha=90.00 beta=90.00 gamma=90.00
With the nearest neighbours (Å) after each atom.
Space group Imma (No. 74)
One atom of each set of equivalent atoms:
K  0.0000  0.2500  0.1169 x4  4 Se 3.08
U  0.2500  0.2500  0.7500 x4  6 Se 2.83
In  0.0000  0.0000  0.5000 x4  6 Se 2.85-3.03
Se  0.0000  0.0414  0.7417 x8  2 U 2.83, 1 In 3.03, 1 K 3.08
Se  0.2089  0.2500  0.5250 x8  1 U 2.83, 2 In 2.85, 1 K 3.08

Formation energy without anion corrections = -0.897 eV/atom

---

Record 2
DFT (GGA-PBE) results for a relaxed KSn2PbBr8 crystal.

Unit cell a=6.9185 b=9.0388 c=7.2342 alpha=90.00 beta=91.42 gamma=90.00
With the nearest neighbours (Å) after each atom.
Space group P2/m (No. 10)
One atom of each set of equivalent atoms:
K  0.0000  0.0000  0.0000 x1  6 Br 3.23-3.32
Sn  0.5000  0.2519  0.5000 x2  6 Br 2.87-3.02
Pb  0.0000  0.5000  0.0000 x1  6 Br 3.01-3.10
Br  0.2553  0.2667  0.1748 x4  1 Sn 2.87, 1 Pb 3.01
Br  0.2641  0.5000  0.6601 x2  2 Sn 3.02, 1 Pb 3.10
Br  0.2875  0.0000  0.6393 x2  2 Sn 2.90

Formation energy without anion corrections = -0.888 eV/atom

---

Record 3
DFT (GGA-PBE) results for a relaxed Pm4RhSe2Cl crystal.

Unit cell a=7.2558 b=4.0674 c=7.3776 alpha=90.00 beta=108.73 gamma=90.00
With the nearest neighbours (Å) after each atom.
Space group P2/m (No. 10)
One atom of each set of equivalent atoms:
Pm  0.2278  0.0000  0.2323 x2  2 Rh 2.83, 3 Se 2.95-3.07, 1 Cl 3.00
Pm  0.2391  0.5000  0.7489 x2  3 Se 2.91-3.03, 1 Rh 2.92, 2 Cl 2.98
Rh  0.0000  0.5000  0.0000 x1  6 Pm 2.83-2.92
Se  0.0000  0.0000  0.5000 x1  6 Pm 2.91-2.95
Se  0.5000  0.5000  0.5000 x1  6 Pm 3.03-3.07
Cl  0.5000  0.0000  0.0000 x1  6 Pm 2.98-3.00

Formation energy without anion corrections = -1.442 eV/atom

---

Record 4
DFT (GGA-PBE) results for a relaxed CuP2S2 crystal.

Unit cell a=4.5379 b=4.5379 c=4.3855 alpha=90.00 beta=90.00 gamma=90.00
With the nearest neighbours (Å) after each atom.
Space group P4/mmm (No. 123)
One atom of each set of equivalent atoms:
Cu  0.0000  0.0000  0.0000 x1  2 S 2.19, 4 P 2.27
P  0.0000  0.5000  0.0000 x2  2 Cu 2.27
S  0.0000  0.0000  0.5000 x1  2 Cu 2.19
S  0.5000  0.5000  0.5000 x1  8 P 3.16, 4 S 3.21

Energy above the most stable polymorph in this dataset = 0.94 eV per formula unit
Formation energy without anion corrections = 1.031 eV/atom

---

Record 5
DFT (GGA-PBE) results for a relaxed SrSi crystal.

Unit cell a=4.0736 b=4.3934 c=13.6051 alpha=90.00 beta=90.00 gamma=90.00
With the nearest neighbours (Å) after each atom.
Space group Amm2 (No. 38)
One atom of each set of equivalent atoms:
Sr  0.0000  0.0000  0.0000 x2  8 Si 3.13-3.32, 1 Sr 3.41
Sr  0.0000  0.0000  0.2503 x2  6 Si 3.23-3.58, 1 Sr 3.41
Si  0.5000  0.0000  0.4345 x2  1 Si 2.33
Si  0.5000  0.0000  0.6060 x2  1 Si 2.33

Formation energy without anion corrections = -0.214 eV/atom

---

Record 6
DFT (GGA-PBE) results for a relaxed Sc2Mn3Ni crystal.

Unit cell a=8.2741 b=5.0076 c=5.0317 alpha=90.00 beta=123.71 gamma=90.00
With the nearest neighbours (Å) after each atom.
Space group C2/m (No. 12)
One atom of each set of equivalent atoms:
Sc  0.1253  0.0000  0.3729 x4  3 Ni 2.80-2.91, 9 Mn 2.87-3.00, 4 Sc 2.98-3.12
Mn  0.0000  0.5000  0.0000 x2  4 Mn 2.42, 2 Ni 2.52
Mn  0.2500  0.2500  0.0000 x4  4 Mn 2.42-2.50, 2 Ni 2.53
Ni  0.0000  0.5000  0.5000 x2  6 Mn 2.52-2.53, 2 Sc 2.80

Energy = -7.884 eV per atom

---

Record 7
DFT (GGA-PBE) results for a relaxed Rb2BeNiBr6 crystal.

Unit cell a=7.1700 b=7.1700 c=11.1857 alpha=90.00 beta=90.00 gamma=90.00
With the nearest neighbours (Å) after each atom.
Space group I4/mmm (No. 139)
One atom of each set of equivalent atoms:
Rb  0.0000  0.5000  0.2500 x4  12 Br 3.60-3.78
Be  0.0000  0.0000  0.0000 x2  4 Br 2.35
Ni  0.0000  0.0000  0.5000 x2  2 Br 2.42
Br  0.0000  0.0000  0.2836 x4  1 Ni 2.42
Br  0.2313  0.2313  0.0000 x8  1 Be 2.35

Formation energy without anion corrections = -0.915 eV/atom

---

Record 8
DFT (GGA-PBE) results for a relaxed Zn2InSb crystal.

Unit cell a=3.2910 b=4.2006 c=6.6082 alpha=90.00 beta=93.30 gamma=90.00
With the nearest neighbours (Å) after each atom.
Space group P2/m (No. 10)
One atom of each set of equivalent atoms:
Zn  0.0212  0.0000  0.2142 x2  1 Zn 2.83, 2 Sb 2.83, 4 In 3.01-3.03
In  0.5000  0.5000  0.0000 x1  8 Zn 3.01-3.03, 2 In 3.29
Sb  0.0000  0.5000  0.5000 x1  4 Zn 2.83

Energy above the most stable polymorph in this dataset = 0.14 eV per formula unit
Formation energy without anion corrections = 0.127 eV/atom

---

Record 9
DFT (GGA-PBE) results for a relaxed Ge3AsIr crystal.

Unit cell a=4.7983 b=4.7983 c=4.7983 alpha=90.00 beta=90.00 gamma=90.00
With the nearest neighbours (Å) after each atom.
Space group Pm-3m (No. 221)
One atom of each set of equivalent atoms:
Ge  0.0000  0.0000  0.5000 x3  2 As 2.40
As  0.0000  0.0000  0.0000 x1  6 Ge 2.40
Ir  0.5000  0.5000  0.5000 x1  12 Ge 3.39

Energy above the most stable polymorph in this dataset = 6.53 eV per formula unit

---

Record 10
DFT (GGA-PBE) results for a relaxed Ag2GeAu crystal.

Unit cell a=3.4011 b=3.4011 c=6.2983 alpha=90.00 beta=90.00 gamma=90.00
With the nearest neighbours (Å) after each atom.
Space group P4/mmm (No. 123)
One atom of each set of equivalent atoms:
Ag  0.0000  0.0000  0.2463 x2  4 Ge 2.86, 4 Au 2.89, 2 Ag 3.10-3.20
Ge  0.5000  0.5000  0.0000 x1  8 Ag 2.86, 2 Au 3.15
Au  0.5000  0.5000  0.5000 x1  8 Ag 2.89, 2 Ge 3.15

Energy = -3.312 eV per atom

---

Record 11
DFT (GGA-PBE) results for a relaxed Pr6DyPb crystal.

Unit cell a=5.0681 b=5.0681 c=10.4749 alpha=90.00 beta=90.00 gamma=90.00
With the nearest neighbours (Å) after each atom.
Space group P4/mmm (No. 123)
One atom of each set of equivalent atoms:
Pr  0.0000  0.0000  0.0000 x1  4 Pb 3.58, 8 Pr 3.60
Pr  0.0000  0.0000  0.5000 x1  4 Dy 3.58, 8 Pr 3.69
Pr  0.0000  0.5000  0.2441 x4  8 Pr 3.58-3.69, 2 Pb 3.60, 2 Dy 3.69
Dy  0.5000  0.5000  0.5000 x1  12 Pr 3.58-3.69
Pb  0.5000  0.5000  0.0000 x1  12 Pr 3.58-3.60

Energy = -4.771 eV per atom

---

Record 12
DFT (GGA-PBE) results for a relaxed Ac4NiGe2 crystal.

Unit cell a=5.2681 b=5.2681 c=17.1235 alpha=90.00 beta=90.00 gamma=90.00
With the nearest neighbours (Å) after each atom.
Space group I4/mmm (No. 139)
One atom of each set of equivalent atoms:
Ac  0.0000  0.0000  0.1831 x4  1 Ni 3.14, 1 Ge 3.15
Ac  0.0000  0.5000  0.0000 x4  2 Ni 2.63
Ni  0.0000  0.0000  0.0000 x2  4 Ac 2.63
Ge  0.0000  0.0000  0.3671 x4  5 Ac 3.15-3.48

Energy above the most stable polymorph in this dataset = 0.13 eV per formula unit

---

Record 13
DFT (GGA-PBE) results for a relaxed ZnRuO2 crystal.

Unit cell a=2.8350 b=2.8350 c=20.1608 alpha=90.00 beta=90.00 gamma=120.00
With the nearest neighbours (Å) after each atom.
Space group R-3m (No. 166, hexagonal axes)
One atom of each set of equivalent atoms:
Zn  0.0000  0.0000  0.0000 x3  2 O 2.10
Ru  0.0000  0.0000  0.5000 x3  6 O 2.06
O  0.0000  0.0000  0.1044 x6  3 Ru 2.06, 1 Zn 2.10

Formation energy without anion corrections = -0.594 eV/atom

---

Record 14
DFT (GGA-PBE) results for a relaxed Na2YAsS4 crystal.

Unit cell a=6.7494 b=3.8916 c=7.0313 alpha=90.00 beta=108.64 gamma=90.00
With the nearest neighbours (Å) after each atom.
Space group P2/m (No. 10)
One atom of each set of equivalent atoms:
Na  0.0000  0.0000  0.0000 x1  6 S 2.96-2.97
Na  0.5000  0.5000  0.0000 x1  6 S 2.87-2.88
Y  0.0000  0.5000  0.5000 x1  6 S 2.73-2.74
As  0.5000  0.0000  0.5000 x1  6 S 2.63-2.65
S  0.2532  0.0000  0.7235 x2  1 As 2.63, 2 Y 2.73, 2 Na 2.88
S  0.2718  0.5000  0.2820 x2  2 As 2.65, 1 Y 2.74, 3 Na 2.87-2.96

Formation energy without anion corrections = -1.171 eV/atom